DFT (PBE-GGA) results for crystalline ZrCrInIr2 at its relaxed geometry.

The structure in CIF format:
```
data_ZrCrInIr2
_chemical_formula_sum 'Zr1 Cr1 In1 Ir2'
_symmetry_space_group_name_H-M 'P 1'
_symmetry_Int_Tables_number 1
_symmetry_space_group_name_Hall 'P 1'
_cell_length_a 4.7218
_cell_length_b 4.6738
_cell_length_c 4.7218
_cell_angle_alpha 90.00
_cell_angle_beta 90.00
_cell_angle_gamma 90.00
loop_
_atom_site_label
_atom_site_fract_x
_atom_site_fract_y
_atom_site_fract_z
In1 0.0000 0.0000 0.0000
Zr1 0.5000 0.5000 0.5000
Ir1 0.5000 0.0000 0.0000
Cr1 0.0000 0.5000 0.0000
Ir2 0.0000 0.0000 0.5000
```

Summary:
As for the energy of formation from the pure elements: 1.553 eV/atom. As for the space group: P4/mmm.